DFT (PBE) results for an optimized crystal structure of Ac5TbPmPr2.

abc: 11.956 11.956 11.956
angles: 138.33 138.33 60.40
Atoms (fractional coordinates):
Ac (0.000, 0.000, 0.000)
Ac (0.086, 0.586, 0.948)
Ac (0.138, 0.086, 0.500)
Ac (0.362, 0.862, 0.948)
Ac (0.414, 0.362, 0.500)
Ac (0.500, 0.500, 0.000)
Ac (0.586, 0.638, 0.500)
Ac (0.638, 0.138, 0.052)
Ac (0.862, 0.914, 0.500)
Ac (0.914, 0.414, 0.052)
Tb (0.250, 0.750, 0.500)
Tb (0.750, 0.250, 0.500)
Pm (0.250, 0.250, 0.000)
Pm (0.750, 0.750, 0.000)
Pr (0.122, 0.378, 0.500)
Pr (0.378, 0.878, 0.255)
Pr (0.622, 0.122, 0.745)
Pr (0.878, 0.622, 0.500)

Properties
- ΔE_f: 0.28 eV/atom
- DFT total energy: -4.108 eV/atom
- Space group: I4/mcm
- Calculated density: 7.65 g cm⁻³

=====

DFT (PBE) results for an optimized crystal structure of Ac2TbPm2Pr.

abc: 7.371 5.953 10.261
angles: 90.00 90.00 90.00
Atoms (fractional coordinates):
Ac (0.000, 0.000, 0.000)
Ac (0.250, 0.500, 0.173)
Ac (0.500, 0.000, 0.000)
Ac (0.750, 0.500, 0.827)
Tb (0.250, 0.000, 0.665)
Tb (0.750, 0.000, 0.335)
Pm (0.250, 0.000, 0.343)
Pm (0.250, 0.500, 0.826)
Pm (0.750, 0.000, 0.657)
Pm (0.750, 0.500, 0.174)
Pr (0.000, 0.500, 0.500)
Pr (0.500, 0.500, 0.500)

Properties
- ΔE_f: 0.08 eV/atom
- DFT total energy: -4.442 eV/atom
- Space group: Pmma
- Calculated density: 7.70 g cm⁻³

=====

DFT (PBE) results for an optimized crystal structure of AcTb3PmPr.

abc: 10.636 10.636 7.261
angles: 90.29 90.29 31.43
Atoms (fractional coordinates):
Ac (0.147, 0.147, 0.038)
Ac (0.853, 0.853, 0.962)
Tb (0.020, 0.020, 0.738)
Tb (0.281, 0.281, 0.741)
Tb (0.336, 0.336, 0.258)
Tb (0.664, 0.664, 0.742)
Tb (0.719, 0.719, 0.259)
Tb (0.980, 0.980, 0.262)
Pm (0.445, 0.445, 0.723)
Pm (0.555, 0.555, 0.277)
Pr (0.147, 0.147, 0.478)
Pr (0.853, 0.853, 0.522)

Properties
- ΔE_f: 0.22 eV/atom
- DFT total energy: -4.366 eV/atom
- Space group: C2/m
- Calculated density: 7.67 g cm⁻³

=====

DFT (PBE) results for an optimized crystal structure of Ac5TbPm2Pr.

abc: 11.389 11.389 11.246
angles: 90.00 90.00 149.62
Atoms (fractional coordinates):
Ac (0.009, 0.991, 0.500)
Ac (0.276, 0.724, 0.811)
Ac (0.296, 0.704, 0.192)
Ac (0.373, 0.627, 0.507)
Ac (0.488, 0.512, 0.238)
Ac (0.512, 0.488, 0.738)
Ac (0.627, 0.373, 0.007)
Ac (0.704, 0.296, 0.692)
Ac (0.724, 0.276, 0.311)
Ac (0.991, 0.009, 0.000)
Tb (0.191, 0.809, 0.502)
Tb (0.809, 0.191, 0.002)
Pm (0.114, 0.886, 0.786)
Pm (0.116, 0.884, 0.234)
Pm (0.884, 0.116, 0.734)
Pm (0.886, 0.114, 0.286)
Pr (0.405, 0.595, 0.959)
Pr (0.595, 0.405, 0.459)

Properties
- ΔE_f: 0.14 eV/atom
- DFT total energy: -4.239 eV/atom
- Space group: Cmc2_1
- Calculated density: 7.76 g cm⁻³

=====

DFT (PBE) results for an optimized crystal structure of AcTb2PmPr4.

abc: 6.410 6.410 10.516
angles: 114.27 114.27 48.25
Atoms (fractional coordinates):
Ac (0.000, 0.000, 0.000)
Tb (0.499, 0.499, 0.255)
Tb (0.501, 0.501, 0.745)
Pm (0.000, 0.000, 0.500)
Pr (0.248, 0.248, 0.870)
Pr (0.251, 0.251, 0.378)
Pr (0.749, 0.749, 0.622)
Pr (0.752, 0.752, 0.130)

Properties
- ΔE_f: 0.03 eV/atom
- DFT total energy: -4.626 eV/atom
- Space group: C2/m
- Calculated density: 7.23 g cm⁻³

=====

DFT (PBE) results for an optimized crystal structure of AcTbPm3Pr.

abc: 8.288 5.239 10.467
angles: 90.00 108.65 90.00
Atoms (fractional coordinates):
Ac (0.168, 0.250, 0.293)
Ac (0.832, 0.750, 0.707)
Tb (0.498, 0.250, 0.626)
Tb (0.502, 0.750, 0.374)
Pm (0.170, 0.750, 0.040)
Pm (0.171, 0.250, 0.792)
Pm (0.171, 0.750, 0.545)
Pm (0.829, 0.250, 0.455)
Pm (0.829, 0.750, 0.208)
Pm (0.830, 0.250, 0.960)
Pr (0.496, 0.750, 0.874)
Pr (0.504, 0.250, 0.126)

Properties
- ΔE_f: 0.03 eV/atom
- DFT total energy: -4.596 eV/atom
- Space group: P2_1/m
- Calculated density: 7.42 g cm⁻³

=====

DFT (PBE) results for an optimized crystal structure of AcTbPm6Pr2.

abc: 9.131 9.131 9.855
angles: 93.14 93.14 118.33
Atoms (fractional coordinates):
Ac (0.023, 0.977, 0.750)
Ac (0.977, 0.023, 0.250)
Tb (0.410, 0.590, 0.250)
Tb (0.590, 0.410, 0.750)
Pm (0.018, 0.565, 0.688)
Pm (0.130, 0.747, 0.056)
Pm (0.253, 0.870, 0.444)
Pm (0.290, 0.501, 0.883)
Pm (0.435, 0.982, 0.812)
Pm (0.499, 0.710, 0.617)
Pm (0.501, 0.290, 0.383)
Pm (0.565, 0.018, 0.188)
Pm (0.710, 0.499, 0.117)
Pm (0.747, 0.130, 0.556)
Pm (0.870, 0.253, 0.944)
Pm (0.982, 0.435, 0.312)
Pr (0.197, 0.313, 0.545)
Pr (0.313, 0.197, 0.045)
Pr (0.687, 0.803, 0.955)
Pr (0.803, 0.687, 0.455)

Properties
- ΔE_f: 0.12 eV/atom
- DFT total energy: -4.562 eV/atom
- Space group: C2/c
- Calculated density: 7.10 g cm⁻³

=====

DFT (PBE) results for an optimized crystal structure of AcTb2Pm6Pr.

abc: 9.072 9.072 9.845
angles: 93.22 93.22 117.86
Atoms (fractional coordinates):
Ac (0.029, 0.971, 0.750)
Ac (0.971, 0.029, 0.250)
Tb (0.198, 0.308, 0.547)
Tb (0.308, 0.198, 0.047)
Tb (0.692, 0.802, 0.953)
Tb (0.802, 0.692, 0.453)
Pm (0.019, 0.557, 0.680)
Pm (0.119, 0.749, 0.055)
Pm (0.251, 0.881, 0.445)
Pm (0.293, 0.508, 0.881)
Pm (0.443, 0.981, 0.820)
Pm (0.492, 0.707, 0.619)
Pm (0.508, 0.293, 0.381)
Pm (0.557, 0.019, 0.180)
Pm (0.707, 0.492, 0.119)
Pm (0.749, 0.119, 0.555)
Pm (0.881, 0.251, 0.945)
Pm (0.981, 0.443, 0.320)
Pr (0.408, 0.592, 0.250)
Pr (0.592, 0.408, 0.750)

Properties
- ΔE_f: 0.12 eV/atom
- DFT total energy: -4.545 eV/atom
- Space group: C2/c
- Calculated density: 7.26 g cm⁻³

=====

DFT (PBE) results for an optimized crystal structure of AcTb6Pm2Pr.

abc: 9.041 9.041 9.717
angles: 93.00 93.00 118.60
Atoms (fractional coordinates):
Ac (0.027, 0.973, 0.750)
Ac (0.973, 0.027, 0.250)
Tb (0.026, 0.563, 0.682)
Tb (0.129, 0.745, 0.058)
Tb (0.255, 0.871, 0.442)
Tb (0.290, 0.504, 0.883)
Tb (0.437, 0.974, 0.818)
Tb (0.496, 0.710, 0.617)
Tb (0.504, 0.290, 0.383)
Tb (0.563, 0.026, 0.182)
Tb (0.710, 0.496, 0.117)
Tb (0.745, 0.129, 0.558)
Tb (0.871, 0.255, 0.942)
Tb (0.974, 0.437, 0.318)
Pm (0.193, 0.310, 0.546)
Pm (0.310, 0.193, 0.046)
Pm (0.690, 0.807, 0.954)
Pm (0.807, 0.690, 0.454)
Pr (0.409, 0.591, 0.250)
Pr (0.591, 0.409, 0.750)

Properties
- ΔE_f: 0.13 eV/atom
- DFT total energy: -4.488 eV/atom
- Space group: C2/c
- Calculated density: 7.71 g cm⁻³

=====

DFT (PBE) results for an optimized crystal structure of AcPm3Pr4Te8.

abc: 9.071 9.071 9.071
angles: 60.01 60.01 60.01
Atoms (fractional coordinates):
Ac (0.000, 0.000, 0.000)
Pm (0.000, 0.500, 0.500)
Pm (0.500, 0.000, 0.500)
Pm (0.500, 0.500, 0.000)
Pr (0.000, 0.000, 0.500)
Pr (0.000, 0.500, 0.000)
Pr (0.500, 0.000, 0.000)
Pr (0.500, 0.500, 0.500)
Te (0.252, 0.252, 0.252)
Te (0.254, 0.254, 0.742)
Te (0.254, 0.742, 0.254)
Te (0.258, 0.746, 0.746)
Te (0.742, 0.254, 0.254)
Te (0.746, 0.258, 0.746)
Te (0.746, 0.746, 0.258)
Te (0.748, 0.748, 0.748)

Properties
- DFT total energy: -5.336 eV/atom
- Space group: R-3m
- Calculated density: 7.07 g cm⁻³

=====

DFT (PBE) results for an optimized crystal structure of Ac2PmPr3Te6.

abc: 7.954 7.954 7.968
angles: 99.60 99.60 120.33
Atoms (fractional coordinates):
Ac (0.165, 0.835, 0.000)
Ac (0.835, 0.165, 0.000)
Pm (0.500, 0.500, 0.000)
Pr (0.000, 0.000, 0.500)
Pr (0.326, 0.674, 0.500)
Pr (0.674, 0.326, 0.500)
Te (0.093, 0.416, 0.747)
Te (0.265, 0.265, 0.262)
Te (0.416, 0.093, 0.747)
Te (0.584, 0.907, 0.253)
Te (0.735, 0.735, 0.738)
Te (0.907, 0.584, 0.253)

Properties
- DFT total energy: -5.294 eV/atom
- Space group: C2/m
- Calculated density: 7.24 g cm⁻³

=====

DFT (PBE) results for an optimized crystal structure of Ac3PmPr4Te8.

abc: 9.193 9.193 9.178
angles: 119.77 119.77 60.28
Atoms (fractional coordinates):
Ac (0.000, 0.000, 0.000)
Ac (0.000, 0.500, 0.500)
Ac (0.500, 0.000, 0.500)
Pm (0.500, 0.500, 0.000)
Pr (0.000, 0.000, 0.500)
Pr (0.000, 0.500, 0.000)
Pr (0.500, 0.000, 0.000)
Pr (0.500, 0.500, 0.500)
Te (0.252, 0.252, 0.760)
Te (0.252, 0.740, 0.248)
Te (0.254, 0.254, 0.246)
Te (0.260, 0.748, 0.752)
Te (0.740, 0.252, 0.248)
Te (0.746, 0.746, 0.754)
Te (0.748, 0.260, 0.752)
Te (0.748, 0.748, 0.240)

Properties
- DFT total energy: -5.278 eV/atom
- Space group: C2/m
- Calculated density: 7.26 g cm⁻³

=====

DFT (PBE) results for an optimized crystal structure of AcPmPrTe3.

abc: 8.912 4.482 11.246
angles: 90.00 106.87 90.00
Atoms (fractional coordinates):
Ac (0.191, 0.250, 0.219)
Ac (0.809, 0.750, 0.781)
Pm (0.342, 0.750, 0.901)
Pm (0.658, 0.250, 0.099)
Pr (0.151, 0.250, 0.622)
Pr (0.849, 0.750, 0.378)
Te (0.094, 0.250, 0.896)
Te (0.231, 0.750, 0.449)
Te (0.476, 0.750, 0.198)
Te (0.524, 0.250, 0.802)
Te (0.769, 0.250, 0.551)
Te (0.906, 0.750, 0.104)

Properties
- DFT total energy: -5.173 eV/atom
- Space group: P2_1/m
- Calculated density: 6.92 g cm⁻³

=====

DFT (PBE) results for an optimized crystal structure of Ac3PmPr3Te8.

abc: 9.284 9.284 9.284
angles: 59.08 59.08 59.08
Atoms (fractional coordinates):
Ac (0.000, 0.500, 0.500)
Ac (0.500, 0.000, 0.500)
Ac (0.500, 0.500, 0.000)
Pm (0.500, 0.500, 0.500)
Pr (0.000, 0.000, 0.500)
Pr (0.000, 0.500, 0.000)
Pr (0.500, 0.000, 0.000)
Te (0.244, 0.749, 0.749)
Te (0.246, 0.246, 0.246)
Te (0.251, 0.251, 0.756)
Te (0.251, 0.756, 0.251)
Te (0.749, 0.244, 0.749)
Te (0.749, 0.749, 0.244)
Te (0.754, 0.754, 0.754)
Te (0.756, 0.251, 0.251)

Properties
- DFT total energy: -5.261 eV/atom
- Space group: R-3m
- Calculated density: 6.80 g cm⁻³

=====

DFT (PBE) results for an optimized crystal structure of AcPm3Pr2Te6.

abc: 10.140 10.140 9.124
angles: 103.30 103.30 25.71
Atoms (fractional coordinates):
Ac (0.000, 0.000, 0.000)
Pm (0.000, 0.000, 0.500)
Pm (0.335, 0.335, 0.171)
Pm (0.665, 0.665, 0.829)
Pr (0.330, 0.330, 0.662)
Pr (0.670, 0.670, 0.338)
Te (0.165, 0.165, 0.586)
Te (0.171, 0.171, 0.082)
Te (0.499, 0.499, 0.739)
Te (0.501, 0.501, 0.261)
Te (0.829, 0.829, 0.918)
Te (0.835, 0.835, 0.414)

Properties
- DFT total energy: -5.326 eV/atom
- Space group: C2/m
- Calculated density: 7.18 g cm⁻³

=====

DFT (PBE) results for an optimized crystal structure of AcPmPrTl.

abc: 5.797 5.797 5.797
angles: 60.00 60.00 60.00
Atoms (fractional coordinates):
Ac (0.000, 0.000, 0.000)
Pm (0.250, 0.250, 0.250)
Pr (0.500, 0.500, 0.500)
Tl (0.750, 0.750, 0.750)

Properties
- ΔE_f: -0.03 eV/atom
- Distance to the lowest polymorph of the same formula: 6 meV/atom
- DFT total energy: -4.032 eV/atom
- Space group: F-43m
- Calculated density: 8.65 g cm⁻³

=====

DFT (PBE) results for an optimized crystal structure of AcPmPrTl.

abc: 5.651 5.651 5.651
angles: 114.74 114.74 99.38
Atoms (fractional coordinates):
Ac (0.000, 0.000, 0.000)
Pm (0.250, 0.750, 0.500)
Pr (0.750, 0.250, 0.500)
Tl (0.500, 0.500, 0.000)

Properties
- ΔE_f: -0.04 eV/atom
- Distance to the lowest polymorph of the same formula: 0 meV/atom
- DFT total energy: -4.038 eV/atom
- Space group: I-4m2
- Calculated density: 8.77 g cm⁻³

=====

DFT (PBE) results for an optimized crystal structure of AcPmPr2Tl4.

abc: 9.748 9.748 9.748
angles: 33.52 33.52 33.52
Atoms (fractional coordinates):
Ac (0.000, 0.000, 0.000)
Pm (0.500, 0.500, 0.500)
Pr (0.249, 0.249, 0.249)
Pr (0.751, 0.751, 0.751)
Tl (0.128, 0.128, 0.128)
Tl (0.378, 0.378, 0.378)
Tl (0.622, 0.622, 0.622)
Tl (0.872, 0.872, 0.872)

Properties
- ΔE_f: -0.36 eV/atom
- DFT total energy: -3.849 eV/atom
- Space group: R-3m
- Calculated density: 9.71 g cm⁻³

=====

DFT (PBE) results for an optimized crystal structure of AcPm2PrTm5.

abc: 9.991 9.991 9.991
angles: 127.92 127.92 76.76
Atoms (fractional coordinates):
Ac (0.250, 0.250, 0.000)
Ac (0.750, 0.750, 0.000)
Pm (0.117, 0.617, 0.734)
Pm (0.383, 0.117, 0.500)
Pm (0.617, 0.883, 0.500)
Pm (0.883, 0.383, 0.266)
Pr (0.250, 0.750, 0.500)
Pr (0.750, 0.250, 0.500)
Tm (0.000, 0.000, 0.000)
Tm (0.075, 0.163, 0.500)
Tm (0.163, 0.663, 0.088)
Tm (0.337, 0.425, 0.500)
Tm (0.425, 0.925, 0.088)
Tm (0.500, 0.500, 0.000)
Tm (0.575, 0.075, 0.912)
Tm (0.663, 0.575, 0.500)
Tm (0.837, 0.337, 0.912)
Tm (0.925, 0.837, 0.500)

Properties
- ΔE_f: 0.25 eV/atom
- DFT total energy: -4.280 eV/atom
- Space group: I4/mcm
- Calculated density: 8.28 g cm⁻³